Record 1
# Zr2HgIr2

Zr2HgIr2 at its PBEsol-relaxed geometry (meta-GGA SCAN, Alexandria).

POSCAR file:
```
Zr2HgIr2
1.0
-1.455 2.623 0.943
-6.748 -3.563 -0.499
0.653 -2.255 7.278
Hg Zr Ir
2 4 4
Cartesian
0.000 0.000 0.000
-3.048 -2.909 3.390
-2.893 -0.256 1.492
-4.657 -2.939 6.231
-1.396 -0.766 5.217
-6.154 -2.430 2.505
-4.186 -2.557 0.653
-1.910 -3.262 6.126
-5.436 -4.517 4.176
-0.659 -1.302 2.603
```

Polymorph energy (0 for the lowest one) ... 0 meV/atom

=====

Record 2
# LiLa2Tl

LiLa2Tl at its PBEsol-relaxed geometry (meta-GGA SCAN, Alexandria).

POSCAR file:
```
LiLa2Tl
1.0
4.627 0.000 0.000
0.000 4.915 0.000
0.000 0.000 4.915
Li Tl La
1 1 2
Cartesian
2.314 0.000 0.000
2.314 2.458 2.458
0.000 2.458 0.000
0.000 0.000 2.458
```

=====

Record 3
# Ta2ZnP

Ta2ZnP at its PBEsol-relaxed geometry (meta-GGA SCAN, Alexandria).

POSCAR file:
```
Ta2ZnP
1.0
3.533 0.000 0.000
0.000 4.629 0.000
-1.766 -2.314 3.769
Ta P Zn
2 1 1
Cartesian
1.766 2.314 2.083
0.000 0.000 1.686
1.766 0.000 0.000
0.000 2.314 0.000
```

=====

Record 4
# Y2OsPt

Y2OsPt at its PBEsol-relaxed geometry (meta-GGA SCAN, Alexandria).

POSCAR file:
```
Y2OsPt
1.0
3.693 0.000 0.000
0.000 4.318 0.000
-1.846 0.000 5.257
Pt Os Y
1 1 2
Cartesian
1.846 2.159 2.144
1.846 0.000 0.481
1.846 2.159 5.047
0.000 0.000 2.842
```

=====

no.,ΔE_f (kJ/mol of formula units),calculated total energy (eV/atom)
1,-385,-55.1512
2,-142,-40.6078
3,-75,-39.4647
4,-283,-50.1721